{
  "formula": "H2OsN",
  "functional": "PBE",
  "state": "optimized geometry",
  "rho_g_cm3": 6.88,
  "final_energy_ev_per_cell": -24.64,
  "polymorph_energy_ev_per_atom": 0.2770,
  "lattice_angstrom": [[2.816, 0.000, 0.000], [0.000, 3.695, 0.000], [-1.332, -1.563, 4.782]],
  "species": ["H", "H", "Os", "N"],
  "fractional_positions": [[0.000, 0.000, 0.000], [0.233, 0.208, 0.492], [0.568, 0.104, 0.246], [0.573, 0.604, 0.246]]
}